Version 1
# Ba2CuF6 | the Alexandria database | SCAN | single point on PBEsol structure
data_Ba2CuF6
_chemical_formula_sum 'Ba2 Cu1 F6'
_cell_length_a 8.3087
_cell_length_b 8.3087
_cell_length_c 8.3087
_cell_angle_alpha 151.26
_cell_angle_beta 151.26
_cell_angle_gamma 41.09
_symmetry_space_group_name_H-M 'P 1'
_symmetry_Int_Tables_number 1
_symmetry_space_group_name_Hall 'P 1'
loop_
_atom_site_label
_atom_site_type_symbol
_atom_site_fract_x
_atom_site_fract_y
_atom_site_fract_z
Ba1 Ba 0.1482 0.1482 0.0000
Ba2 Ba 0.8518 0.8518 0.0000
Cu1 Cu 0.5000 0.5000 0.0000
F1 F 0.0000 0.5000 0.5000
F2 F 0.2500 0.7500 0.5000
F3 F 0.3789 0.3789 0.0000
F4 F 0.5000 0.0000 0.5000
F5 F 0.6211 0.6211 0.0000
F6 F 0.7500 0.2500 0.5000
# Magnetization = 1.000 μB per formula unit
# DOS(E_F) = 0.32 states/eV/f.u.

***

Version 2
# Ba2CuF6 | the Alexandria database | SCAN | single point on PBEsol structure
data_Ba2CuF6
_chemical_formula_sum 'Ba4 Cu2 F12'
_cell_length_a 8.3908
_cell_length_b 8.3908
_cell_length_c 5.8811
_cell_angle_alpha 90.00
_cell_angle_beta 90.00
_cell_angle_gamma 40.42
_symmetry_space_group_name_H-M 'P 1'
_symmetry_Int_Tables_number 1
_symmetry_space_group_name_Hall 'P 1'
loop_
_atom_site_label
_atom_site_type_symbol
_atom_site_fract_x
_atom_site_fract_y
_atom_site_fract_z
Ba1 Ba 0.1496 0.1496 0.0000
Ba2 Ba 0.3504 0.3504 0.5000
Ba3 Ba 0.6496 0.6496 0.5000
Ba4 Ba 0.8504 0.8504 0.0000
Cu1 Cu 0.0000 0.0000 0.5000
Cu2 Cu 0.5000 0.5000 0.0000
F1 F 0.0021 0.4979 0.7500
F2 F 0.1195 0.1195 0.5000
F3 F 0.2143 0.7857 0.8256
F4 F 0.2857 0.7143 0.3256
F5 F 0.3805 0.3805 0.0000
F6 F 0.4979 0.0021 0.2500
F7 F 0.5021 0.9979 0.7500
F8 F 0.6195 0.6195 0.0000
F9 F 0.7143 0.2857 0.6744
F10 F 0.7857 0.2143 0.1744
F11 F 0.8805 0.8805 0.5000
F12 F 0.9979 0.5021 0.2500
# Magnetization = 1.000 μB per formula unit
# DOS(E_F) = 0.00 states/eV/f.u.

***

Which structure above is the least stable? It is version 1.